Record 1
Here is a relaxed PmPaAg4 crystal from the Alexandria database. Energies are from PBE-GGA.

Properties
DOS at the Fermi energy (states/eV/cell): 32.51

```
data_PmPaAg4
_cell_length_a 8.0670
_cell_length_b 8.0670
_cell_length_c 8.0670
_cell_angle_alpha 90.00
_cell_angle_beta 90.00
_cell_angle_gamma 90.00
_space_group_name_H-M_alt 'F -4 3 m'
_space_group_IT_number 216
_space_group_name_Hall 'F -4 2 3'
loop_
_atom_site_label
_atom_site_type_symbol
_atom_site_fract_x
_atom_site_fract_y
_atom_site_fract_z
Pm1 Pm 0.0000 0.0000 0.0000
Pa1 Pa 0.2500 0.2500 0.2500
Ag1 Ag 0.1250 0.1250 0.6250
```


Record 2
Here is a relaxed K3Sm2YTe6 crystal from the Alexandria database. Energies are from PBE-GGA.

Properties
Uncorrected formation energy (eV per atom): -1.412

```
data_K3Sm2YTe6
_cell_length_a 7.8770
_cell_length_b 13.6441
_cell_length_c 8.6607
_cell_angle_alpha 90.00
_cell_angle_beta 107.66
_cell_angle_gamma 90.00
_space_group_name_H-M_alt 'C 1 2/m 1'
_space_group_IT_number 12
loop_
_space_group_symop_operation_xyz
'x,y,z'
'-x,-y,-z'
'-x,y,-z'
'x,-y,z'
'x+1/2,y+1/2,z'
'-x+1/2,-y+1/2,-z'
'-x+1/2,y+1/2,-z'
'x+1/2,-y+1/2,z'
loop_
_atom_site_label
_atom_site_type_symbol
_atom_site_fract_x
_atom_site_fract_y
_atom_site_fract_z
K1 K 0.0000 0.0000 0.0000
K2 K 0.0000 0.3319 0.0000
Sm1 Sm 0.0000 0.1665 0.5000
Y1 Y 0.0000 0.5000 0.5000
Te1 Te 0.2348 0.3355 0.7111
Te2 Te 0.2416 0.0000 0.7115
```


Record 3
Here is a relaxed PrThSn crystal from the Alexandria database. Energies are from PBE-GGA.

Properties
DOS at the Fermi energy (states/eV/cell): 4.06
Energy relative to the lowest polymorph listed for this composition (meV per atom): 343.3

```
data_PrThSn
_cell_length_a 5.4108
_cell_length_b 5.4108
_cell_length_c 3.6862
_cell_angle_alpha 90.00
_cell_angle_beta 90.00
_cell_angle_gamma 120.00
_space_group_name_H-M_alt 'P 3 m 1'
_space_group_IT_number 156
loop_
_space_group_symop_operation_xyz
'x,y,z'
'-y,x-y,z'
'-x+y,-x,z'
'-y,-x,z'
'-x+y,y,z'
'x,x-y,z'
loop_
_atom_site_label
_atom_site_type_symbol
_atom_site_fract_x
_atom_site_fract_y
_atom_site_fract_z
Pr1 Pr 0.0000 0.0000 0.0000
Th1 Th 0.6667 0.3333 0.5525
Sn1 Sn 0.3333 0.6667 0.2644
```


Record 4
Here is a relaxed BeCl2 crystal from the Alexandria database. Energies are from PBE-GGA.

Properties
DOS at the Fermi energy (states/eV/cell): 0.00
Uncorrected formation energy (eV per atom): -1.379
Energy relative to the lowest polymorph listed for this composition (meV per atom): 54.4

```
data_BeCl2
_cell_length_a 26.2571
_cell_length_b 3.3427
_cell_length_c 3.3427
_cell_angle_alpha 90.00
_cell_angle_beta 96.95
_cell_angle_gamma 90.00
_space_group_name_H-M_alt 'C 1 2/m 1'
_space_group_IT_number 12
loop_
_space_group_symop_operation_xyz
'x,y,z'
'-x,-y,-z'
'-x,y,-z'
'x,-y,z'
'x+1/2,y+1/2,z'
'-x+1/2,-y+1/2,-z'
'-x+1/2,y+1/2,-z'
'x+1/2,-y+1/2,z'
loop_
_atom_site_label
_atom_site_type_symbol
_atom_site_fract_x
_atom_site_fract_y
_atom_site_fract_z
Be1 Be 0.1250 0.0000 0.3751
Cl1 Cl 0.0790 0.5000 0.3310
Cl2 Cl 0.1710 0.0000 0.9188
```


Record 5
Here is a relaxed In2ReAs crystal from the Alexandria database. Energies are from PBE-GGA.

Properties
DOS at the Fermi energy (states/eV/cell): 5.19

```
data_In2ReAs
_cell_length_a 9.8696
_cell_length_b 2.9084
_cell_length_c 5.5862
_cell_angle_alpha 90.00
_cell_angle_beta 100.31
_cell_angle_gamma 90.00
_space_group_name_H-M_alt 'C 1 2/m 1'
_space_group_IT_number 12
loop_
_space_group_symop_operation_xyz
'x,y,z'
'-x,-y,-z'
'-x,y,-z'
'x,-y,z'
'x+1/2,y+1/2,z'
'-x+1/2,-y+1/2,-z'
'-x+1/2,y+1/2,-z'
'x+1/2,-y+1/2,z'
loop_
_atom_site_label
_atom_site_type_symbol
_atom_site_fract_x
_atom_site_fract_y
_atom_site_fract_z
In1 In 0.2423 0.0000 0.2381
Re1 Re 0.0000 0.5000 0.0000
As1 As 0.0000 0.0000 0.5000
```


Record 6
Here is a relaxed PrAl8Cu4 crystal from the Alexandria database. Energies are from PBE-GGA.

Properties
DOS at the Fermi energy (states/eV/cell): 5.43

```
data_PrAl8Cu4
_cell_length_a 8.8818
_cell_length_b 8.8818
_cell_length_c 5.1748
_cell_angle_alpha 90.00
_cell_angle_beta 90.00
_cell_angle_gamma 90.00
_space_group_name_H-M_alt 'I 4/m m m'
_space_group_IT_number 139
_space_group_name_Hall '-I 4 2'
loop_
_atom_site_label
_atom_site_type_symbol
_atom_site_fract_x
_atom_site_fract_y
_atom_site_fract_z
Pr1 Pr 0.0000 0.0000 0.0000
Al1 Al 0.0000 0.2208 0.5000
Al2 Al 0.0000 0.3490 0.0000
Cu1 Cu 0.2500 0.2500 0.2500
```


Record 7
Here is a relaxed NdHo2Cu crystal from the Alexandria database. Energies are from PBE-GGA.

Properties
DOS at the Fermi energy (states/eV/cell): 10.81
Energy relative to the lowest polymorph listed for this composition (meV per atom): 40.2

```
data_NdHo2Cu
_cell_length_a 4.9397
_cell_length_b 7.4984
_cell_length_c 6.3747
_cell_angle_alpha 90.00
_cell_angle_beta 112.72
_cell_angle_gamma 90.00
_space_group_name_H-M_alt 'P 1 21/m 1'
_space_group_IT_number 11
loop_
_space_group_symop_operation_xyz
'x,y,z'
'-x,-y,-z'
'-x,y+1/2,-z'
'x,-y+1/2,z'
loop_
_atom_site_label
_atom_site_type_symbol
_atom_site_fract_x
_atom_site_fract_y
_atom_site_fract_z
Nd1 Nd 0.0481 0.2500 0.0958
Ho1 Ho 0.3504 0.0308 0.7006
Cu1 Cu 0.2008 0.7500 0.4021
```


Record 8
Here is a relaxed Ce2DyIn crystal from the Alexandria database. Energies are from PBE-GGA.

Properties
DOS at the Fermi energy (states/eV/cell): 15.19
Energy relative to the lowest polymorph listed for this composition (meV per atom): 45.9

```
data_Ce2DyIn
_cell_length_a 4.5683
_cell_length_b 4.3022
_cell_length_c 11.5250
_cell_angle_alpha 90.00
_cell_angle_beta 99.32
_cell_angle_gamma 90.00
_space_group_name_H-M_alt 'P 1 21/m 1'
_space_group_IT_number 11
loop_
_space_group_symop_operation_xyz
'x,y,z'
'-x,-y,-z'
'-x,y+1/2,-z'
'x,-y+1/2,z'
loop_
_atom_site_label
_atom_site_type_symbol
_atom_site_fract_x
_atom_site_fract_y
_atom_site_fract_z
Ce1 Ce 0.0027 0.2500 0.1123
Ce2 Ce 0.3879 0.2500 0.8823
Dy1 Dy 0.3008 0.7500 0.6059
In1 In 0.1790 0.7500 0.3286
```


Record 9
Here is a relaxed ErZn6GaAg crystal from the Alexandria database. Energies are from PBE-GGA.

Properties
DOS at the Fermi energy (states/eV/cell): 16.08

```
data_ErZn6GaAg
_cell_length_a 5.3360
_cell_length_b 9.7257
_cell_length_c 14.0104
_cell_angle_alpha 90.00
_cell_angle_beta 90.00
_cell_angle_gamma 90.00
_space_group_name_H-M_alt 'I m m a'
_space_group_IT_number 74
_space_group_name_Hall '-I 2b 2'
loop_
_atom_site_label
_atom_site_type_symbol
_atom_site_fract_x
_atom_site_fract_y
_atom_site_fract_z
Er1 Er 0.0000 0.2500 0.1783
Zn1 Zn 0.0000 0.2500 0.4151
Zn2 Zn 0.0000 0.2500 0.9568
Zn3 Zn 0.2457 0.0184 0.8437
Ga1 Ga 0.2500 0.2500 0.7500
Ag1 Ag 0.0000 0.0000 0.5000
```


Record 10
Here is a relaxed Nd2HoCu3 crystal from the Alexandria database. Energies are from PBE-GGA.

Properties
DOS at the Fermi energy (states/eV/cell): 3.64
Energy relative to the lowest polymorph listed for this composition (meV per atom): 0.0

```
data_Nd2HoCu3
_cell_length_a 3.5299
_cell_length_b 3.5299
_cell_length_c 10.7113
_cell_angle_alpha 90.00
_cell_angle_beta 90.00
_cell_angle_gamma 90.00
_space_group_name_H-M_alt 'P 4/m m m'
_space_group_IT_number 123
_space_group_name_Hall '-P 4 2'
loop_
_atom_site_label
_atom_site_type_symbol
_atom_site_fract_x
_atom_site_fract_y
_atom_site_fract_z
Nd1 Nd 0.0000 0.0000 0.1711
Ho1 Ho 0.0000 0.0000 0.5000
Cu1 Cu 0.5000 0.5000 0.0000
Cu2 Cu 0.5000 0.5000 0.3485
```


Record 11
Here is a relaxed Hf2CoGe2 crystal from the Alexandria database. Energies are from PBE-GGA.

Properties
DOS at the Fermi energy (states/eV/cell): 5.18

```
data_Hf2CoGe2
_cell_length_a 6.2832
_cell_length_b 6.2832
_cell_length_c 4.2026
_cell_angle_alpha 90.00
_cell_angle_beta 90.00
_cell_angle_gamma 90.00
_space_group_name_H-M_alt 'P 4/m b m'
_space_group_IT_number 127
_space_group_name_Hall '-P 4 2ab'
loop_
_atom_site_label
_atom_site_type_symbol
_atom_site_fract_x
_atom_site_fract_y
_atom_site_fract_z
Hf1 Hf 0.1693 0.3307 0.0000
Co1 Co 0.0000 0.0000 0.5000
Ge1 Ge 0.1424 0.6424 0.5000
```


Record 12
Here is a relaxed TaZnTc2H crystal from the Alexandria database. Energies are from PBE-GGA.

Properties
DOS at the Fermi energy (states/eV/cell): 3.93

```
data_TaZnTc2H
_cell_length_a 4.1771
_cell_length_b 4.1771
_cell_length_c 3.5945
_cell_angle_alpha 90.00
_cell_angle_beta 90.00
_cell_angle_gamma 90.00
_space_group_name_H-M_alt 'P 4/m m m'
_space_group_IT_number 123
_space_group_name_Hall '-P 4 2'
loop_
_atom_site_label
_atom_site_type_symbol
_atom_site_fract_x
_atom_site_fract_y
_atom_site_fract_z
Ta1 Ta 0.0000 0.0000 0.0000
Zn1 Zn 0.5000 0.5000 0.0000
Tc1 Tc 0.0000 0.5000 0.5000
H1 H 0.5000 0.5000 0.5000
```


no.,VASP energy (Ry/atom)
1,-0.3069
2,-0.3368
3,-0.4089
4,-0.2832
5,-0.3636
6,-0.3117
7,-0.3360
8,-0.3675
9,-0.1374
10,-0.3370
11,-0.5754
12,-0.5453